1.
NaAgSnRh: optimized geometry, GGA-PBE.

The value obtained for the energy is -63.433 eV per cell. For the calculated volume, the calculation gives 289 Å³/cell.

It has space group F-43m (No. 216), with a = 6.614 Å, b = 6.614 Å, c = 6.614 Å, α = 90.00°, β = 90.00° and γ = 90.00°. The inequivalent atoms are Na at (0.000, 0.000, 0.000), Ag at (0.250, 0.250, 0.750), Sn at (0.000, 0.000, 0.500) and Rh at (0.250, 0.250, 0.250).



2.
Y6CdPt2: optimized geometry, GGA-PBE.

The value obtained for the energy is -232.008 eV per cell. For the calculated volume, the calculation gives 967 Å³/cell.

It has space group Immm (No. 71), with a = 9.463 Å, b = 9.731 Å, c = 10.497 Å, α = 90.00°, β = 90.00° and γ = 90.00°. The inequivalent atoms are Y at (0.000, 0.198, 0.238), Y at (0.198, 0.500, 0.170), Y at (0.211, 0.318, 0.500), Cd at (0.000, 0.000, 0.000), Cd at (0.000, 0.000, 0.500), Pt at (0.000, 0.338, 0.000) and Pt at (0.000, 0.500, 0.366).



3.
Li3RhSe: optimized geometry, GGA-PBE.

The calculation puts the energy relative to the lowest polymorph listed for this composition at 0 meV/atom. The value obtained for the formation energy from raw total energies is -19 meV per atom. For the calculated volume, the calculation gives 100 Å³/cell.

It has space group Pm-3m (No. 221), with a = 4.639 Å, b = 4.639 Å, c = 4.639 Å, α = 90.00°, β = 90.00° and γ = 90.00°. The inequivalent atoms are Li at (0.000, 0.000, 0.500), Rh at (0.500, 0.500, 0.500) and Se at (0.000, 0.000, 0.000).



4.
BeTlP2Au: optimized geometry, GGA-PBE.

The value obtained for the energy is -11.627 eV per cell. For the calculated volume, the calculation gives 138 Å³/cell.

It has space group P4/mmm (No. 123), with a = 5.148 Å, b = 5.148 Å, c = 5.213 Å, α = 90.00°, β = 90.00° and γ = 90.00°. The inequivalent atoms are Be at (0.000, 0.000, 0.000), Tl at (0.500, 0.500, 0.500), P at (0.000, 0.500, 0.500) and Au at (0.500, 0.500, 0.000).



5.
AlTc4Au: optimized geometry, GGA-PBE.

The value obtained for the energy is -185.419 eV per cell. For the calculated volume, the calculation gives 385 Å³/cell.

It has space group F-43m (No. 216), with a = 7.272 Å, b = 7.272 Å, c = 7.272 Å, α = 90.00°, β = 90.00° and γ = 90.00°. The inequivalent atoms are Al at (0.000, 0.000, 0.000), Tc at (0.124, 0.124, 0.376) and Au at (0.250, 0.250, 0.750).



6.
ThMgCo2: optimized geometry, GGA-PBE.

The value obtained for the energy is -23.432 eV per cell. For the calculated volume, the calculation gives 69 Å³/cell.

It has space group P4/mmm (No. 123), with a = 4.473 Å, b = 4.473 Å, c = 3.445 Å, α = 90.00°, β = 90.00° and γ = 90.00°. The inequivalent atoms are Th at (0.000, 0.000, 0.000), Mg at (0.500, 0.500, 0.000) and Co at (0.000, 0.500, 0.500).



7.
Tb2Nd6SmDy: optimized geometry, GGA-PBE.

The value obtained for the energy is -184.178 eV per cell. For the calculated volume, the calculation gives 1376 Å³/cell.

It has space group C2/c (No. 15), with a = 9.285 Å, b = 15.361 Å, c = 9.735 Å, α = 90.00°, β = 97.67° and γ = 90.00°. The inequivalent atoms are Tb at (0.249, 0.049, 0.046), Nd at (0.063, 0.180, 0.445), Nd at (0.099, 0.392, 0.619), Nd at (0.212, 0.223, 0.813), Sm at (0.000, 0.026, 0.750) and Dy at (0.000, 0.410, 0.250).